Below is SmCdHg6 after structural relaxation, with properties calculated at the PBE level.

Computed properties:
Formation enthalpy at 0 K: 0.079 eV per atom
Distance to the lowest polymorph of the same formula: 239 meV/atom

Structure (CIF):
```
data_SmCdHg6
_space_group_name_H-M_alt 'R -3 m'
_space_group_IT_number 166
_space_group_name_Hall '-R 3 2"'
_cell_length_a 6.3447
_cell_length_b 6.3447
_cell_length_c 23.6183
_cell_angle_alpha 90.00
_cell_angle_beta 90.00
_cell_angle_gamma 120.00
loop_
_atom_site_label
_atom_site_type_symbol
_atom_site_fract_x
_atom_site_fract_y
_atom_site_fract_z
Sm1 Sm 0.0000 0.0000 0.0000
Cd1 Cd 0.0000 0.0000 0.5000
Hg1 Hg 0.0117 0.5059 0.4361
```

---

Below is InMo2Pt after structural relaxation, with properties calculated at the PBE level.

Computed properties:
Formation enthalpy at 0 K: 0.019 eV per atom

Structure (CIF):
```
data_InMo2Pt
_space_group_name_H-M_alt 'P 4/m m m'
_space_group_IT_number 123
_space_group_name_Hall '-P 4 2'
_cell_length_a 3.8491
_cell_length_b 3.8491
_cell_length_c 4.5318
_cell_angle_alpha 90.00
_cell_angle_beta 90.00
_cell_angle_gamma 90.00
loop_
_atom_site_label
_atom_site_type_symbol
_atom_site_fract_x
_atom_site_fract_y
_atom_site_fract_z
In1 In 0.0000 0.0000 0.0000
Mo1 Mo 0.0000 0.5000 0.5000
Pt1 Pt 0.5000 0.5000 0.0000
```

---

Below is Li2Nd2SmGa2 after structural relaxation, with properties calculated at the PBE level.

Computed properties:
Formation enthalpy at 0 K: -0.288 eV per atom

Structure (CIF):
```
data_Li2Nd2SmGa2
_space_group_name_H-M_alt 'R -3 m'
_space_group_IT_number 166
_space_group_name_Hall '-R 3 2"'
_cell_length_a 4.6911
_cell_length_b 4.6911
_cell_length_c 26.7036
_cell_angle_alpha 90.00
_cell_angle_beta 90.00
_cell_angle_gamma 120.00
loop_
_atom_site_label
_atom_site_type_symbol
_atom_site_fract_x
_atom_site_fract_y
_atom_site_fract_z
Li1 Li 0.0000 0.0000 0.1073
Nd1 Nd 0.0000 0.0000 0.3739
Sm1 Sm 0.0000 0.0000 0.5000
Ga1 Ga 0.0000 0.0000 0.2356
```

---

Below is PuCd2In after structural relaxation, with properties calculated at the PBE level.

Computed properties:
Formation enthalpy at 0 K: -0.100 eV per atom
Distance to the lowest polymorph of the same formula: 0 meV/atom

Structure (CIF):
```
data_PuCd2In
_space_group_name_H-M_alt 'P 1 2/m 1'
_space_group_IT_number 10
_cell_length_a 3.0731
_cell_length_b 5.1754
_cell_length_c 6.2106
_cell_angle_alpha 90.00
_cell_angle_beta 90.52
_cell_angle_gamma 90.00
loop_
_space_group_symop_operation_xyz
'x,y,z'
'-x,-y,-z'
'-x,y,-z'
'x,-y,z'
loop_
_atom_site_label
_atom_site_type_symbol
_atom_site_fract_x
_atom_site_fract_y
_atom_site_fract_z
Pu1 Pu 0.0000 0.0000 0.0000
Cd1 Cd 0.4936 0.5000 0.7569
In1 In 0.5000 0.0000 0.5000
```